1.
VASP calculation (GGA-PBE) on an optimized crystal structure of Ba2CoPt.

E_tot: -3.9515 eV/atom
Theoretical density: 6.94 g/cm3
Total magnetization: 4.4 μB/cell
Calculated formation energy: 6.8 kcal/mol of atoms

a = 8.3076 Å, b = 8.3076 Å, c = 7.3274 Å
α = 90.00°, β = 90.00°, γ = 90.00°
Last column: nearest neighbours and their distance in Å.
Space group I-42d (No. 122)
Symmetry-distinct sites (fractional):
1 Ba 0.2492 0.2500 0.1250 (multiplicity 8)  2 Pt 3.07, 2 Co 3.08
2 Co 0.0000 0.0000 0.5000 (multiplicity 4)  4 Ba 3.08
3 Pt 0.0000 0.0000 0.0000 (multiplicity 4)  4 Ba 3.07



2.
VASP calculation (GGA-PBE) on an optimized crystal structure of LaInHg2.

E_tot: -2.2081 eV/atom
Energy relative to the lowest polymorph listed for this composition: 329 meV per atom
Theoretical density: 9.35 g/cm3
Total magnetization: 0.0 μB/cell
Calculated formation energy: -3.2 kcal/mol of atoms

a = 3.7454 Å, b = 3.7454 Å, c = 28.7170 Å
α = 90.00°, β = 90.00°, γ = 120.00°
Last column: nearest neighbours and their distance in Å.
Space group R3m (No. 160, hexagonal axes)
Symmetry-distinct sites (fractional):
1 La 0.0000 0.0000 0.0000 (multiplicity 3)  3 Hg 3.32, 3 In 3.43
2 In 0.0000 0.0000 0.7596 (multiplicity 3)  3 Hg 3.08, 3 La 3.43
3 Hg 0.0000 0.0000 0.2456 (multiplicity 3)  3 Hg 3.08, 3 La 3.32
4 Hg 0.0000 0.0000 0.5025 (multiplicity 3)  3 In 3.08, 3 Hg 3.08



3.
VASP calculation (GGA-PBE) on an optimized crystal structure of Tb3Dy2Er7.

E_tot: -4.2688 eV/atom
Energy relative to the lowest polymorph listed for this composition: 207 meV per atom
Theoretical density: 8.11 g/cm3
Total magnetization: 0.0 μB/cell
Calculated formation energy: 7.3 kcal/mol of atoms

a = 6.0970 Å, b = 5.5417 Å, c = 11.9830 Å
α = 90.00°, β = 94.12°, γ = 90.00°
Last column: nearest neighbours and their distance in Å.
Space group P2/m (No. 10)
Symmetry-distinct sites (fractional):
1 Tb 0.0000 0.0000 0.0000 (multiplicity 1)  6 Er 3.26-3.51, 2 Dy 3.45
2 Tb 0.4620 0.5000 0.3272 (multiplicity 2)  2 Dy 3.45, 6 Er 3.46-3.57
3 Dy 0.1290 0.0000 0.2854 (multiplicity 2)  6 Er 3.20-3.50, 3 Tb 3.45
4 Er 0.0547 0.5000 0.8240 (multiplicity 2)  2 Dy 3.23, 3 Er 3.32-3.51, 4 Tb 3.51-3.57
5 Er 0.2713 0.0000 0.5559 (multiplicity 2)  3 Er 3.18-3.48, 2 Dy 3.20-3.29, 2 Tb 3.46
6 Er 0.4081 0.0000 0.8384 (multiplicity 2)  3 Tb 3.26-3.53, 2 Dy 3.28-3.50, 5 Er 3.40-3.51
7 Er 0.5000 0.5000 0.0000 (multiplicity 1)  6 Er 3.32-3.40



4.
VASP calculation (GGA-PBE) on an optimized crystal structure of Li5SbS4Cl2.

E_tot: -3.9758 eV/atom
Uncorrected formation energy: -1.1513 eV/atom
Theoretical density: 2.41 g/cm3
Total magnetization: 0.0 μB/cell

a = 7.3916 Å, b = 10.8994 Å, c = 6.0880 Å
α = 90.00°, β = 90.00°, γ = 90.00°
Last column: nearest neighbours and their distance in Å.
Space group Amm2 (No. 38)
Symmetry-distinct sites (fractional):
1 Li 0.0000 0.0000 0.0000 (multiplicity 2)  2 Cl 2.36, 2 S 2.45
2 Li 0.2455 0.1932 0.5070 (multiplicity 8)  2 Cl 2.45-2.70, 3 S 2.52-2.70
3 Sb 0.5000 0.0000 0.0533 (multiplicity 2)  4 S 2.36-2.38
4 S 0.2393 0.0000 0.2783 (multiplicity 4)  1 Sb 2.36, 3 Li 2.45-2.52
5 S 0.5000 0.1769 0.8249 (multiplicity 4)  1 Sb 2.38, 2 Li 2.60
6 Cl 0.0000 0.1762 0.7752 (multiplicity 4)  3 Li 2.36-2.45